Record 1
LiNiCl2: relaxed, PBE.

Properties
* relative energy among the computed polymorphs: 70 meV/atom
* formation energy (no corrections): -824 meV per atom
* magnetic moment: 1.00 μB/cell

Unit cell a=4.491 b=3.360 c=5.798 alpha=90.00 beta=96.63 gamma=90.00
Space group P2/m (No. 10)
Inequivalent atoms, fractional coordinates:
Li: 0.000 0.000 0.000 [1 per cell]
Ni: 0.000 0.000 0.500 [1 per cell]
Cl: 0.203 0.500 0.747 [2 per cell]

=====

Record 2
AcHo2Ge2Pt7: relaxed, PBE.

Properties
* formation energy: -0.85 eV per atom
* magnetic moment: 0.00 μB/cell

Unit cell a=5.960 b=5.800 c=14.204 alpha=90.00 beta=100.04 gamma=90.00
Space group C2/m (No. 12)
Inequivalent atoms, fractional coordinates:
Ac: 0.000 0.000 0.000 [2 per cell]
Ho: 0.129 0.000 0.363 [4 per cell]
Ge: 0.116 0.500 0.266 [4 per cell]
Pt: 0.000 0.500 0.000 [2 per cell]
Pt: 0.136 0.500 0.436 [4 per cell]
Pt: 0.175 0.251 0.830 [8 per cell]

=====

Record 3
Cs2MnCdBr6: relaxed, PBE.

Properties
* relative energy among the computed polymorphs: 0 meV/atom
* formation energy (no corrections): -1232 meV per atom
* magnetic moment: 30.00 μB/cell

Unit cell a=7.8414 b=7.8414 c=39.2385 alpha=90.00 beta=90.00 gamma=120.00
Space group R-3m (No. 166, hexagonal axes)
Inequivalent atoms, fractional coordinates:
Cs: 0.0000 0.0000 0.1239 [6 per cell]
Cs: 0.0000 0.0000 0.2922 [6 per cell]
Mn: 0.0000 0.0000 0.0000 [3 per cell]
Mn: 0.0000 0.0000 0.5000 [3 per cell]
Cd: 0.0000 0.0000 0.4135 [6 per cell]
Br: 0.0096 0.5048 0.7064 [18 per cell]
Br: 0.0129 0.5064 0.1253 [18 per cell]

=====

Record 4
CeSc5Se6: relaxed, PBE.

Properties
* formation energy (no corrections): -1615 meV per atom
* magnetic moment: 1.97 μB/cell

Unit cell a=6.815 b=11.818 c=6.807 alpha=90.00 beta=109.74 gamma=90.00
Space group C2/m (No. 12)
Inequivalent atoms, fractional coordinates:
Ce: 0.000 0.000 0.000 [2 per cell]
Sc: 0.000 0.161 0.500 [4 per cell]
Sc: 0.000 0.332 0.000 [4 per cell]
Sc: 0.000 0.500 0.500 [2 per cell]
Se: 0.237 0.500 0.255 [4 per cell]
Se: 0.239 0.326 0.740 [8 per cell]

=====

Record 5
SiSn2Au2: relaxed, PBE.

Properties
* relative energy among the computed polymorphs: 254 meV/atom
* formation energy (no corrections): 381 meV per atom
* magnetic moment: 0.00 μB/cell

Unit cell a=4.344 b=4.344 c=12.651 alpha=90.00 beta=90.00 gamma=90.00
Space group I4/mmm (No. 139)
Inequivalent atoms, fractional coordinates:
Si: 0.000 0.000 0.000 [2 per cell]
Sn: 0.000 0.500 0.250 [4 per cell]
Au: 0.000 0.000 0.396 [4 per cell]

=====

Record 6
LiScBiAu: relaxed, PBE.

Properties
* formation energy: -0.57 eV per atom
* magnetic moment: 0.00 μB/cell

Unit cell a=6.953 b=6.953 c=6.953 alpha=90.00 beta=90.00 gamma=90.00
Space group F-43m (No. 216)
Inequivalent atoms, fractional coordinates:
Li: 0.000 0.000 0.000 [4 per cell]
Sc: 0.000 0.000 0.500 [4 per cell]
Bi: 0.250 0.250 0.750 [4 per cell]
Au: 0.250 0.250 0.250 [4 per cell]

=====

Record 7
TaNbCo6: relaxed, PBE.

Properties
* formation energy: -0.19 eV per atom
* magnetic moment: 0.00 μB/cell

Unit cell a=7.276 b=10.292 c=10.298 alpha=90.00 beta=90.00 gamma=90.00
Space group Cmmm (No. 65)
Inequivalent atoms, fractional coordinates:
Ta: 0.000 0.000 0.250 [4 per cell]
Ta: 0.000 0.250 0.000 [4 per cell]
Nb: 0.000 0.250 0.500 [4 per cell]
Nb: 0.000 0.500 0.250 [4 per cell]
Co: 0.000 0.000 0.000 [2 per cell]
Co: 0.000 0.000 0.500 [2 per cell]
Co: 0.000 0.250 0.250 [8 per cell]
Co: 0.000 0.500 0.000 [2 per cell]
Co: 0.000 0.500 0.500 [2 per cell]
Co: 0.250 0.125 0.125 [16 per cell]
Co: 0.250 0.125 0.375 [16 per cell]